Density functional theory data (PBE) for a relaxed structure of Ac8Os3RhI4.

Computed properties:
Uncorrected formation energy ... -0.69 eV/atom
E_tot ... -0.4188 Ry per atom

a = 8.772 Å, b = 9.971 Å, c = 8.775 Å
α = 116.10°, β = 119.99°, γ = 90.00°
Atoms (fractional coordinates):
Ac: 0.770 0.317 0.539
Ac: 0.272 0.315 0.544
Ac: 0.723 0.683 0.953
Ac: 0.230 0.683 0.461
Ac: 0.277 0.317 0.047
Ac: 0.770 0.317 0.047
Ac: 0.728 0.685 0.456
Ac: 0.230 0.683 0.953
I: 0.500 0.000 0.500
I: 0.000 0.000 0.000
I: 0.500 0.000 0.000
I: 0.000 0.000 0.500
Os: 0.000 0.500 0.500
Os: 0.500 0.500 0.500
Os: 0.500 0.500 0.000
Rh: 0.000 0.500 0.000